(1)
KNpPaO6, relaxed, DFT PBE; final energy = -8.881 eV per atom; calculated density = 5.61 g/cm³; total magnetic moment = 1.00 μB per formula unit; formation energy without anion corrections = -2961 meV/atom
1.0
-3.965 3.988 5.643
3.965 -3.988 5.643
3.965 3.988 -5.643
K Np Pa O
2 2 2 12
direct
0.334 0.084 0.250 K
0.666 0.916 0.750 K
0.000 0.500 0.500 Np
0.500 0.500 0.000 Np
0.000 0.000 0.500 Pa
0.000 0.500 0.000 Pa
0.068 0.435 0.260 O
0.068 0.808 0.632 O
0.075 0.825 0.250 O
0.308 0.558 0.750 O
0.325 0.192 0.760 O
0.325 0.565 0.132 O
0.675 0.435 0.868 O
0.675 0.808 0.240 O
0.692 0.442 0.250 O
0.925 0.175 0.750 O
0.932 0.192 0.368 O
0.932 0.565 0.740 O



(2)
K3Np2PaO9, relaxed, DFT PBE; final energy = -8.389 eV per atom; calculated density = 6.61 g/cm³; total magnetic moment = 4.00 μB per formula unit; formation energy without anion corrections = -2836 meV/atom
1.0
6.117 0.000 0.000
-3.058 5.297 0.000
0.000 0.000 7.495
K Np Pa O
3 2 1 9
direct
0.000 0.000 0.000 K
0.333 0.667 0.668 K
0.667 0.333 0.332 K
0.333 0.667 0.164 Np
0.667 0.333 0.836 Np
0.000 0.000 0.500 Pa
0.000 0.500 0.000 O
0.168 0.336 0.331 O
0.168 0.832 0.331 O
0.336 0.168 0.669 O
0.500 0.000 0.000 O
0.500 0.500 0.000 O
0.664 0.832 0.331 O
0.832 0.168 0.669 O
0.832 0.664 0.669 O



(3)
K2NpPaO6, relaxed, DFT PBE; final energy = -8.341 eV per atom; calculated density = 6.51 g/cm³; total magnetic moment = 2.00 μB per formula unit; formation energy without anion corrections = -2903 meV/atom
1.0
0.000 4.342 4.342
4.342 0.000 4.342
4.342 4.342 0.000
K Np Pa O
2 1 1 6
direct
0.250 0.250 0.250 K
0.750 0.750 0.750 K
0.000 0.000 0.000 Np
0.500 0.500 0.500 Pa
0.248 0.248 0.752 O
0.248 0.752 0.248 O
0.248 0.752 0.752 O
0.752 0.248 0.248 O
0.752 0.248 0.752 O
0.752 0.752 0.248 O



(4)
K2NpPbO6, relaxed, DFT PBE; final energy = -6.841 eV per atom; calculated density = 6.56 g/cm³; total magnetic moment = 1.00 μB per formula unit; formation energy without anion corrections = -1981 meV/atom
1.0
0.000 4.278 4.278
4.278 0.000 4.278
4.278 4.278 0.000
K Np Pb O
2 1 1 6
direct
0.250 0.250 0.250 K
0.750 0.750 0.750 K
0.000 0.000 0.000 Np
0.500 0.500 0.500 Pb
0.241 0.241 0.759 O
0.241 0.759 0.241 O
0.241 0.759 0.759 O
0.759 0.241 0.241 O
0.759 0.241 0.759 O
0.759 0.759 0.241 O



(5)
K2NpPb2O6, relaxed, DFT PBE; final energy = -6.675 eV per atom; calculated density = 6.23 g/cm³; total magnetic moment = 1.00 μB per formula unit; formation energy without anion corrections = -1920 meV/atom
1.0
3.322 -5.230 0.000
3.322 5.230 0.000
-2.071 0.000 6.328
K Np Pb O
2 1 2 6
direct
0.180 0.820 0.000 K
0.820 0.180 0.000 K
0.000 0.000 0.500 Np
0.332 0.668 0.500 Pb
0.668 0.332 0.500 Pb
0.043 0.350 0.679 O
0.166 0.166 0.301 O
0.350 0.043 0.679 O
0.650 0.957 0.321 O
0.834 0.834 0.699 O
0.957 0.650 0.321 O



(6)
KNpPd2O8, relaxed, DFT PBE; final energy = -6.471 eV per atom; calculated density = 6.24 g/cm³; total magnetic moment = 0.10 μB per formula unit; formation energy without anion corrections = -1130 meV/atom
1.0
4.941 0.000 0.000
0.000 6.672 0.000
-0.208 0.000 4.983
K Np Pd O
1 1 2 8
direct
0.000 0.000 0.000 K
0.000 0.500 0.000 Np
0.500 0.253 0.500 Pd
0.500 0.747 0.500 Pd
0.214 0.298 0.200 O
0.214 0.702 0.200 O
0.307 0.500 0.678 O
0.331 0.000 0.650 O
0.669 0.000 0.350 O
0.693 0.500 0.322 O
0.786 0.298 0.800 O
0.786 0.702 0.800 O



(7)
K3Np2PdO9, relaxed, DFT PBE; final energy = -7.400 eV per atom; calculated density = 6.30 g/cm³; total magnetic moment = 3.00 μB per formula unit; formation energy without anion corrections = -2134 meV/atom
1.0
5.931 0.000 0.000
-2.966 5.136 0.000
0.000 0.000 7.285
K Np Pd O
3 2 1 9
direct
0.000 0.000 0.000 K
0.333 0.667 0.659 K
0.667 0.333 0.341 K
0.333 0.667 0.176 Np
0.667 0.333 0.824 Np
0.000 0.000 0.500 Pd
0.000 0.500 0.000 O
0.170 0.340 0.329 O
0.170 0.830 0.329 O
0.340 0.170 0.671 O
0.500 0.000 0.000 O
0.500 0.500 0.000 O
0.660 0.830 0.329 O
0.830 0.170 0.671 O
0.830 0.660 0.671 O



(8)
KNpPdO6, relaxed, DFT PBE; final energy = -7.133 eV per atom; calculated density = 5.22 g/cm³; total magnetic moment = 0.00 μB per formula unit; formation energy without anion corrections = -1691 meV/atom
1.0
5.369 0.000 0.000
-2.684 4.650 0.000
0.000 0.000 12.192
K Np Pd O
2 2 2 12
direct
0.000 0.000 0.000 K
0.000 0.000 0.500 K
0.333 0.667 0.250 Np
0.667 0.333 0.750 Np
0.333 0.667 0.750 Pd
0.667 0.333 0.250 Pd
0.001 0.367 0.159 O
0.001 0.634 0.341 O
0.366 0.367 0.341 O
0.366 0.999 0.159 O
0.367 0.001 0.659 O
0.367 0.366 0.841 O
0.633 0.634 0.159 O
0.633 0.999 0.341 O
0.634 0.001 0.841 O
0.634 0.633 0.659 O
0.999 0.366 0.659 O
0.999 0.633 0.841 O